Record 1
{"formula": "CsCdSn4", "functional": "PBE-GGA", "state": "relaxed", "volume_a3_per_atom": 32.3, "final_energy_ev_per_atom": -2.885, "total_magnetization_mub_per_cell": 0.000, "formation_energy_mev_per_atom": 78.6, "dos_ef_per_ev_fu": 6.845, "cell": [[0.000, 4.595, 4.595], [4.595, 0.000, 4.595], [4.595, 4.595, 0.000]], "species": ["Cs", "Cd", "Sn", "Sn", "Sn", "Sn"], "fractional_positions": [[0.000, 0.000, 0.000], [0.750, 0.750, 0.750], [0.376, 0.376, 0.376], [0.376, 0.376, 0.872], [0.376, 0.872, 0.376], [0.872, 0.376, 0.376]]}

Record 2
{"formula": "Ca3Ge3Rh", "functional": "PBE-GGA", "state": "relaxed", "volume_a3_per_atom": 22.4, "final_energy_ev_per_atom": -4.552, "total_magnetization_mub_per_cell": 0.000, "formation_energy_mev_per_atom": -665.6, "dos_ef_per_ev_fu": 3.348, "cell": [[2.120, -5.399, 0.000], [2.120, 5.399, 0.000], [0.000, 0.000, 13.680]], "species": ["Ca", "Ca", "Ca", "Ca", "Ca", "Ca", "Ge", "Ge", "Ge", "Ge", "Ge", "Ge", "Rh", "Rh"], "fractional_positions": [[0.003, 0.997, 0.750], [0.282, 0.718, 0.101], [0.282, 0.718, 0.399], [0.718, 0.282, 0.601], [0.718, 0.282, 0.899], [0.997, 0.003, 0.250], [0.291, 0.709, 0.750], [0.432, 0.568, 0.591], [0.432, 0.568, 0.909], [0.568, 0.432, 0.091], [0.568, 0.432, 0.409], [0.709, 0.291, 0.250], [0.000, 0.000, 0.000], [0.000, 0.000, 0.500]]}

Record 3
{"formula": "BaBe2F6", "functional": "PBE-GGA", "state": "relaxed", "raw_formation_energy_mev_per_atom": -3478, "de_polymorph_kj_per_mol_atoms": 0.0, "volume_a3_per_atom": 14.7, "final_energy_ev_per_atom": -5.767, "total_magnetization_mub_per_cell": 0.336, "dos_ef_per_ev_fu": 0.000, "cell": [[5.275, -5.597, 0.000], [5.275, 5.597, 0.000], [-1.506, 0.000, 4.478]], "species": ["Ba", "Ba", "Be", "Be", "Be", "Be", "F", "F", "F", "F", "F", "F", "F", "F", "F", "F", "F", "F"], "fractional_positions": [[0.155, 0.845, 0.750], [0.845, 0.155, 0.250], [0.221, 0.361, 0.934], [0.361, 0.221, 0.434], [0.639, 0.779, 0.566], [0.779, 0.639, 0.066], [0.058, 0.209, 0.812], [0.169, 0.536, 0.862], [0.209, 0.058, 0.312], [0.289, 0.376, 0.280], [0.376, 0.289, 0.780], [0.464, 0.831, 0.638], [0.536, 0.169, 0.362], [0.624, 0.711, 0.220], [0.711, 0.624, 0.720], [0.791, 0.942, 0.688], [0.831, 0.464, 0.138], [0.942, 0.791, 0.188]]}

Record 4
{"formula": "HfMn2AlRu", "functional": "PBE-GGA", "state": "relaxed", "volume_a3_per_atom": 18.1, "final_energy_ev_per_atom": -7.151, "total_magnetization_mub_per_cell": 5.176, "formation_energy_mev_per_atom": 1111.0, "dos_ef_per_ev_fu": 3.554, "cell": [[4.260, 0.000, 0.000], [0.000, 4.260, 0.000], [0.000, 0.000, 4.982]], "species": ["Hf", "Mn", "Mn", "Al", "Ru"], "fractional_positions": [[0.000, 0.000, 0.000], [0.000, 0.500, 0.500], [0.500, 0.000, 0.500], [0.000, 0.000, 0.500], [0.500, 0.500, 0.000]]}

Record 5
{"formula": "AcScTl", "functional": "PBE-GGA", "state": "relaxed", "de_polymorph_kj_per_mol_atoms": 0.0, "volume_a3_per_atom": 32.0, "final_energy_ev_per_atom": -4.536, "total_magnetization_mub_per_cell": 1.782, "formation_energy_mev_per_atom": -266.8, "dos_ef_per_ev_fu": 2.787, "cell": [[4.868, 0.000, 0.000], [0.000, 4.868, 0.000], [0.000, 0.000, 8.111]], "species": ["Ac", "Ac", "Sc", "Sc", "Tl", "Tl"], "fractional_positions": [[0.250, 0.250, 0.153], [0.750, 0.750, 0.847], [0.250, 0.750, 0.500], [0.750, 0.250, 0.500], [0.250, 0.250, 0.723], [0.750, 0.750, 0.277]]}

Record 6
{"formula": "Ti2Si3", "functional": "PBE-GGA", "state": "relaxed", "raw_formation_energy_mev_per_atom": -556, "volume_a3_per_atom": 14.8, "final_energy_ev_per_atom": -6.968, "total_magnetization_mub_per_cell": 0.000, "dos_ef_per_ev_fu": 0.885, "cell": [[0.000, 3.537, 6.047], [3.453, 0.000, 6.047], [3.453, 3.537, 0.000]], "species": ["Ti", "Ti", "Ti", "Ti", "Si", "Si", "Si", "Si", "Si", "Si"], "fractional_positions": [[0.221, 0.779, 0.221], [0.250, 0.250, 0.250], [0.750, 0.750, 0.750], [0.779, 0.221, 0.779], [0.187, 0.187, 0.813], [0.209, 0.598, 0.791], [0.402, 0.791, 0.598], [0.598, 0.209, 0.402], [0.791, 0.402, 0.209], [0.813, 0.813, 0.187]]}